# 1
Pr6Sm5Er2, optimized geometry, DFT PBE; energy relative to the elements = 1.2 eV per formula unit; symmetry = Pbam (55); raw total energy = -4.628 eV per atom
1.0
-2.918 -2.090 0.694
4.505 -8.548 -6.806
9.795 -8.131 16.695
Pr Er Sm
12 4 10
Direct
0.000 0.063 0.081
0.500 0.174 0.638
0.500 0.674 0.862
0.000 0.437 0.581
0.000 0.417 0.868
0.000 0.583 0.132
0.500 0.326 0.138
0.000 0.083 0.368
0.000 0.563 0.419
0.500 0.826 0.362
0.000 0.937 0.919
0.000 0.917 0.632
0.000 0.332 0.290
0.000 0.668 0.710
0.000 0.168 0.790
0.000 0.832 0.210
0.500 0.500 0.000
0.500 0.089 0.227
0.500 0.000 0.500
0.500 0.411 0.727
0.500 0.697 0.556
0.500 0.911 0.773
0.500 0.303 0.444
0.500 0.803 0.056
0.500 0.589 0.273
0.500 0.197 0.944

# 2
Pr3Sm7Er, optimized geometry, DFT PBE; E above lowest polymorph = 0.0 meV/atom; energy relative to the elements = 1.8 eV per formula unit; symmetry = P3m1 (156); raw total energy = -4.556 eV per atom
1.0
-0.222 -7.474 -4.656
-0.940 -3.755 6.072
-5.711 2.440 -3.645
Pr Sm Er
3 7 1
Direct
0.782 0.500 0.999
0.782 0.500 0.500
0.782 0.001 0.500
0.123 0.667 0.333
0.448 0.833 0.666
0.119 0.167 0.335
0.448 0.833 0.167
0.448 0.334 0.167
0.119 0.665 0.833
0.119 0.167 0.833
0.443 0.333 0.667

# 3
Pr10SmEr4, optimized geometry, DFT PBE; energy relative to the elements = 6.4 eV per formula unit; symmetry = I4/m (87); raw total energy = -4.288 eV per atom
1.0
9.885 0.000 4.464
4.943 7.143 2.232
2.003 0.000 8.742
Er Sm Pr
4 1 10
Direct
0.555 0.671 0.219
0.774 0.781 0.671
0.445 0.329 0.781
0.226 0.219 0.329
0.000 0.000 0.000
0.050 0.346 0.892
0.058 0.892 0.654
0.950 0.654 0.108
0.396 0.892 0.654
0.250 0.500 0.500
0.287 0.654 0.108
0.713 0.346 0.892
0.750 0.500 0.500
0.942 0.108 0.346
0.604 0.108 0.346

# 4
Pr3SmEr5, optimized geometry, DFT PBE; energy relative to the elements = 4.7 eV per formula unit; symmetry = C2/m (12); raw total energy = -4.134 eV per atom
1.0
-4.895 -7.463 -3.454
1.410 -7.433 5.860
-8.092 -6.484 5.498
Pr Er Sm
6 10 2
Direct
0.661 0.661 0.366
0.339 0.339 0.634
0.000 0.000 0.500
0.298 0.298 0.193
0.702 0.702 0.807
0.000 0.000 0.000
0.259 0.741 0.000
0.741 0.259 0.000
0.187 0.187 0.035
0.492 0.492 0.222
0.845 0.348 0.245
0.348 0.845 0.245
0.508 0.508 0.778
0.813 0.813 0.965
0.652 0.155 0.755
0.155 0.652 0.755
0.845 0.845 0.401
0.155 0.155 0.599

# 5
Pr4Sm3Er, optimized geometry, DFT PBE; E above lowest polymorph = 0.0 meV/atom; energy relative to the elements = 0.1 eV per formula unit; symmetry = Pmna (53); raw total energy = -4.713 eV per atom
1.0
-6.392 -3.535 -0.045
1.373 -2.567 6.698
-4.619 8.298 4.128
Er Sm Pr
2 6 8
Direct
0.500 0.311 0.500
0.500 0.811 0.000
0.000 0.310 0.000
0.252 0.061 0.750
0.748 0.561 0.750
0.252 0.061 0.250
0.748 0.561 0.250
0.000 0.810 0.500
0.749 0.061 0.750
0.749 0.061 0.250
0.251 0.561 0.750
0.500 0.810 0.500
0.500 0.310 0.000
0.000 0.811 0.000
0.000 0.311 0.500
0.251 0.561 0.250

# 6
Pr3Sm12Er, optimized geometry, DFT PBE; energy relative to the elements = 0.3 eV per formula unit; symmetry = P4/mmm (123); raw total energy = -4.705 eV per atom
1.0
-2.334 -2.031 -4.106
4.392 0.317 -2.653
5.203 -18.842 6.362
Er Pr Sm
1 3 12
Direct
0.000 0.000 0.000
0.000 0.000 0.249
0.000 0.000 0.500
0.000 0.000 0.751
0.500 0.000 0.626
0.500 0.500 0.248
0.000 0.500 0.123
0.000 0.500 0.877
0.500 0.500 0.500
0.000 0.500 0.626
0.500 0.500 0.752
0.500 0.000 0.123
0.500 0.000 0.374
0.500 0.000 0.877
0.500 0.500 0.000
0.000 0.500 0.374

# 7
Pr6Sm2Er, optimized geometry, DFT PBE; E above lowest polymorph = 457.3 meV/atom; energy relative to the elements = 5.3 eV per formula unit; symmetry = P4_2/mnm (136); raw total energy = -4.157 eV per atom
1.0
-7.325 2.820 2.822
-3.802 -6.721 -3.154
1.537 -5.164 9.149
Pr Sm Er
12 4 2
Direct
0.262 0.262 0.667
0.738 0.738 0.333
0.739 0.739 0.000
0.262 0.262 0.333
0.761 0.239 0.500
0.738 0.738 0.667
0.238 0.762 0.167
0.261 0.261 0.000
0.762 0.238 0.167
0.239 0.761 0.500
0.238 0.762 0.833
0.762 0.238 0.833
0.500 0.500 0.831
0.000 0.000 0.331
0.000 0.000 0.669
0.500 0.500 0.169
0.500 0.500 0.500
0.000 0.000 0.000

# 8
Pr2Sm8Er3, optimized geometry, DFT PBE; energy relative to the elements = 2.8 eV per formula unit; symmetry = C2/m (12); raw total energy = -4.479 eV per atom
1.0
5.581 0.000 0.770
0.000 7.693 0.000
-1.425 -3.847 10.311
Sm Pr Er
8 2 3
Direct
0.500 0.811 0.207
0.500 0.189 0.793
0.000 0.335 0.669
0.000 0.872 0.744
0.500 0.396 0.207
0.000 0.128 0.256
0.000 0.665 0.331
0.500 0.604 0.793
0.501 0.760 0.520
0.499 0.240 0.480
0.000 0.286 0.000
0.500 0.000 0.000
0.000 0.714 0.000

# 9
PrSmEr5, optimized geometry, DFT PBE; E above lowest polymorph = 0.0 meV/atom; energy relative to the elements = 1.4 eV per formula unit; symmetry = C2/c (15); raw total energy = -4.418 eV per atom
1.0
6.138 0.071 2.780
2.258 5.708 2.780
1.066 0.734 13.699
Pr Sm Er
2 2 10
Direct
0.724 0.276 0.750
0.276 0.724 0.250
0.000 0.000 0.000
0.000 0.000 0.500
0.828 0.607 0.253
0.700 0.639 0.002
0.840 0.160 0.250
0.160 0.840 0.750
0.639 0.700 0.502
0.393 0.172 0.247
0.300 0.361 0.998
0.607 0.828 0.753
0.172 0.393 0.747
0.361 0.300 0.498

# 10
Pr5Sm3Er, optimized geometry, DFT PBE; E above lowest polymorph = 0.0 meV/atom; energy relative to the elements = 2.3 eV per formula unit; symmetry = C2/c (15); raw total energy = -4.479 eV per atom
1.0
3.183 10.557 1.308
-3.183 10.557 1.308
0.000 5.753 10.357
Pr Er Sm
10 2 6
Direct
0.996 0.362 0.974
0.581 0.419 0.250
0.536 0.187 0.120
0.813 0.464 0.380
0.004 0.638 0.026
0.362 0.996 0.474
0.464 0.813 0.880
0.187 0.536 0.620
0.419 0.581 0.750
0.638 0.004 0.526
0.908 0.092 0.750
0.092 0.908 0.250
0.000 0.000 0.500
0.000 0.000 0.000
0.402 0.950 0.173
0.950 0.402 0.673
0.598 0.050 0.827
0.050 0.598 0.327

# 11
PrSm2Er, optimized geometry, DFT PBE; E above lowest polymorph = 1.9 meV/atom; energy relative to the elements = 0.1 eV per formula unit; symmetry = R-3m (166); raw total energy = -4.675 eV per atom
1.0
3.618 0.000 0.000
1.809 3.134 0.000
1.809 1.045 11.817
Pr Sm Er
1 2 1
Direct
0.500 0.500 0.500
0.252 0.252 0.244
0.748 0.748 0.756
0.000 0.000 0.000

# 12
Pr4Sm4Er, optimized geometry, DFT PBE; E above lowest polymorph = 0.0 meV/atom; energy relative to the elements = 0.1 eV per formula unit; symmetry = I4/mmm (139); raw total energy = -4.714 eV per atom
1.0
5.158 0.000 0.000
2.579 7.752 0.000
2.579 0.000 7.752
Pr Sm Er
4 4 1
Direct
0.666 0.000 0.668
0.334 0.332 0.000
0.666 0.668 0.000
0.334 0.000 0.332
0.000 0.666 0.334
0.334 0.666 0.666
0.000 0.334 0.666
0.666 0.334 0.334
0.000 0.000 0.000

# 13
Pr2SmEr8, optimized geometry, DFT PBE; E above lowest polymorph = 0.0 meV/atom; energy relative to the elements = 1.8 eV per formula unit; symmetry = C2/m (12); raw total energy = -4.457 eV per atom
1.0
-4.920 1.902 -2.628
-8.070 -0.006 4.084
-2.649 7.380 4.791
Er Pr Sm
8 2 1
Direct
0.500 0.792 0.417
0.704 0.570 0.000
0.172 0.902 0.768
0.500 0.208 0.583
0.828 0.098 0.232
0.172 0.670 0.232
0.296 0.430 0.000
0.828 0.330 0.768
0.000 0.306 0.388
0.000 0.694 0.612
0.500 0.000 0.000

# 14
Pr6Sm2Er5, optimized geometry, DFT PBE; energy relative to the elements = 1.4 eV per formula unit; symmetry = Pbam (55); raw total energy = -4.583 eV per atom
1.0
-2.440 1.493 -2.270
-4.139 -10.763 -2.630
-13.541 1.422 15.493
Sm Pr Er
4 12 10
Direct
0.000 0.334 0.287
0.000 0.166 0.787
0.000 0.834 0.213
0.000 0.666 0.713
0.500 0.176 0.629
0.500 0.824 0.371
0.000 0.942 0.922
0.000 0.919 0.634
0.500 0.324 0.129
0.500 0.676 0.871
0.000 0.081 0.366
0.000 0.058 0.078
0.000 0.419 0.866
0.000 0.442 0.578
0.000 0.558 0.422
0.000 0.581 0.134
0.500 0.594 0.276
0.500 0.200 0.944
0.500 0.700 0.556
0.500 0.000 0.500
0.500 0.094 0.224
0.500 0.300 0.444
0.500 0.500 0.000
0.500 0.800 0.056
0.500 0.906 0.776
0.500 0.406 0.724

# 15
Pr12SmEr7, optimized geometry, DFT PBE; E above lowest polymorph = 90.6 meV/atom; energy relative to the elements = 4.7 eV per formula unit; symmetry = R-3m (166); raw total energy = -4.466 eV per atom
1.0
-4.221 1.204 -4.475
4.185 -10.114 -3.742
-6.858 -0.314 9.310
Pr Er Sm
12 7 1
Direct
0.912 0.412 0.824
0.088 0.588 0.176
0.500 0.412 0.588
0.500 0.588 0.412
0.067 0.647 0.647
0.088 0.176 0.588
0.420 0.000 0.353
0.420 0.353 0.000
0.580 0.000 0.647
0.580 0.647 0.000
0.933 0.353 0.353
0.912 0.824 0.412
0.369 0.245 0.244
0.500 0.000 0.000
0.124 0.756 0.000
0.124 0.000 0.755
0.631 0.755 0.756
0.876 0.244 0.000
0.876 0.000 0.245
0.000 0.000 0.000

# 16
Pr3SmEr4, optimized geometry, DFT PBE; E above lowest polymorph = 109.9 meV/atom; energy relative to the elements = 1.1 eV per formula unit; symmetry = Immm (71); raw total energy = -4.525 eV per atom
1.0
3.360 0.000 0.870
1.169 8.570 2.408
-0.514 -1.028 8.904
Er Sm Pr
4 1 3
Direct
0.365 0.382 0.888
0.365 0.888 0.382
0.635 0.618 0.112
0.635 0.112 0.618
0.500 0.000 0.000
0.757 0.243 0.243
0.243 0.757 0.757
0.000 0.500 0.500

# 17
PrSm7Er3, optimized geometry, DFT PBE; E above lowest polymorph = 34.5 meV/atom; energy relative to the elements = 2.5 eV per formula unit; symmetry = C2/m (12); raw total energy = -4.455 eV per atom
1.0
-3.254 5.320 -1.511
-4.042 -3.353 -5.689
-6.296 -1.962 4.058
Er Pr Sm
3 1 7
Direct
0.000 0.831 0.169
0.500 0.000 0.000
0.000 0.169 0.831
0.500 0.500 0.500
0.259 0.074 0.423
0.741 0.577 0.926
0.212 0.765 0.765
0.259 0.423 0.074
0.000 0.500 0.500
0.741 0.926 0.577
0.788 0.235 0.235

# 18
SrPrSmEr, optimized geometry, DFT PBE; energy relative to the elements = 0.9 eV per formula unit; symmetry = F-43m (216); raw total energy = -3.720 eV per atom
1.0
-2.548 1.955 -4.999
-5.444 -1.862 -1.485
-4.602 3.749 0.280
Pr Er Sr Sm
1 1 1 1
Direct
0.250 0.250 0.250
0.000 0.000 0.000
0.500 0.500 0.500
0.750 0.750 0.750

# 19
TbPr2Sm3Er6, optimized geometry, DFT PBE; energy relative to the elements = 0.2 eV per formula unit; symmetry = C2/m (12); raw total energy = -4.628 eV per atom
1.0
6.204 0.000 0.009
-3.101 5.374 0.009
-1.046 -1.812 11.575
Pr Er Tb Sm
2 6 1 3
Direct
0.334 0.666 0.000
0.666 0.334 0.000
0.084 0.417 0.251
0.583 0.916 0.749
0.751 0.751 0.251
0.249 0.249 0.749
0.916 0.583 0.749
0.417 0.084 0.251
0.000 0.000 0.000
0.833 0.167 0.500
0.167 0.833 0.500
0.500 0.500 0.500